(1)
## LaSnPb (PBE)

Data for a relaxed structure of LaSnPb.

Properties
- Space-group type: I4mm, No. 107
- Electronic total energy: -4.03 eV per atom
- Magnetic moment: 0.00 μB per cell
- Crystal system: tetragonal

Cell and atoms, written as POSCAR:
```
LaSnPb
1.0
-2.5309 -2.2137 -0.2629
2.2079 -2.4341 -0.7583
0.9760 0.3636 9.1745
Pb La Sn
1 1 1
direct
0.1355 0.1355 0.2709 Pb
0.9483 0.9483 0.8967 La
0.7662 0.7662 0.5324 Sn
```



(2)
## Pr6Dy5Tm (PBE)

Data for a relaxed structure of Pr6Dy5Tm.

Properties
- Space-group type: C2/m, No. 12
- Electronic total energy: -4.67 eV per atom
- Magnetic moment: 0.00 μB per cell
- Crystal system: monoclinic

Cell and atoms, written as POSCAR:
```
Pr6Dy5Tm
1.0
-10.4908 -2.0349 5.1594
1.4889 -4.9192 3.6458
2.0760 0.9454 5.8734
Dy Pr Tm
5 6 1
direct
0.0000 0.3333 0.3334 Dy
0.5000 0.8334 0.3333 Dy
0.5000 0.5000 0.0000 Dy
0.0000 0.6667 0.6666 Dy
0.5000 0.1666 0.6667 Dy
0.7504 0.7507 0.0000 Pr
0.2494 0.5833 0.3329 Pr
0.7506 0.4167 0.6671 Pr
0.2496 0.2493 0.0000 Pr
0.7506 0.0837 0.3329 Pr
0.2494 0.9163 0.6671 Pr
0.0000 0.0000 0.0000 Tm
```



(3)
## CeNdIn6 (PBE)

Data for a relaxed structure of CeNdIn6.

Properties
- Space-group type: P4/mmm, No. 123
- Electronic total energy: -3.84 eV per atom
- Magnetic moment: 0.67 μB per cell
- Crystal system: tetragonal

Cell and atoms, written as POSCAR:
```
CeNdIn6
1.0
-1.1060 -1.8765 -4.1789
4.4697 -1.3835 -0.5617
-2.0070 -8.1938 4.2107
Nd In Ce
1 6 1
direct
0.0000 0.0000 0.5000 Nd
0.0000 0.5000 0.2487 In
0.5000 0.0000 0.7513 In
0.5000 0.0000 0.2487 In
0.0000 0.5000 0.7513 In
0.5000 0.5000 0.0000 In
0.5000 0.5000 0.5000 In
0.0000 0.0000 0.0000 Ce
```